Crystalline Zn2Pb at its relaxed geometry, computed with GGA-PBE.

abc: 5.2199 5.2199 5.6201
angles: 90.00 90.00 120.00
With the nearest neighbours (Å) after each atom.
Positions (direct):
Zn  0.0000  0.0000  0.0000  2 Zn 2.81
Zn  0.0000  0.0000  0.5000  2 Zn 2.81
Zn  0.3333  0.6667  0.2500  5 Pb 2.81-3.01
Zn  0.6667  0.3333  0.7500  5 Pb 2.81-3.01
Pb  0.3333  0.6667  0.7500  5 Zn 2.81-3.01
Pb  0.6667  0.3333  0.2500  5 Zn 2.81-3.01

Values from the calculation:
**Energy relative to the elements**: 0.24 eV/atom
**SG**: P6_3/mmc (194)
**Final energy**: -11.07 eV for the cell shown
**Fermi-level density of states**: 0.3611 states/eV per atom